Material: Tl3Sb2Pb5
Method: DFT, PBE
State: optimized geometry

Cell lengths 14.3128, 14.3132, 6.9494 Å; angles 90.00, 90.00, 90.00 degrees
Closest atoms and distances in Å follow each position.
Space group Ibam (No. 72)
Asymmetric unit:
1 Tl 0.0000 0.0000 0.2500 (multiplicity 4)  4 Sb 3.22, 2 Tl 3.47
2 Tl 0.2424 0.1405 0.0000 (multiplicity 8)  4 Pb 3.66-4.04, 3 Sb 3.70-3.79
3 Sb 0.1367 0.1308 0.5000 (multiplicity 8)  3 Pb 3.04-3.17, 2 Tl 3.22
4 Pb 0.0000 0.2554 0.2500 (multiplicity 8)  2 Sb 3.17, 5 Pb 3.29-3.50
5 Pb 0.0000 0.5000 0.2500 (multiplicity 4)  8 Pb 3.27-3.50
6 Pb 0.1512 0.3791 0.0000 (multiplicity 8)  1 Sb 3.04, 4 Pb 3.27-3.29

Output
crystal system	orthorhombic
ΔE_f (raw)	73	meV per atom
DOS at the Fermi energy	16.71	states/eV per cell
electronic total energy	-3.32	eV/atom